No. 1
# Nd2Ho2Pd15 (PBE, optimized geometry)
data_Nd2Ho2Pd15
_symmetry_space_group_name_H-M 'R -3 m'
_symmetry_Int_Tables_number 166
_symmetry_space_group_name_Hall '-R 3 2"'
_cell_length_a 9.2518
_cell_length_b 9.2518
_cell_length_c 14.1683
_cell_angle_alpha 90.00
_cell_angle_beta 90.00
_cell_angle_gamma 120.00
loop_
_atom_site_label
_atom_site_type_symbol
_atom_site_fract_x
_atom_site_fract_y
_atom_site_fract_z
Nd1 Nd 0.0000 0.0000 0.1399
Ho1 Ho 0.0000 0.0000 0.3919
Pd1 Pd 0.0000 0.3051 0.5000
Pd2 Pd 0.0000 0.5000 0.0000
Pd3 Pd 0.0054 0.5027 0.6530
# calculated formation energy: -0.58 eV/atom
# uncorrected energy: -322.54 eV/cell
# crystal system: trigonal


No. 2
# Cs2KTl2Pb (PBE, optimized geometry)
data_Cs2KTl2Pb
_symmetry_space_group_name_H-M 'P m c 21'
_symmetry_Int_Tables_number 26
_cell_length_a 5.346
_cell_length_b 9.883
_cell_length_c 10.725
_cell_angle_alpha 90.00
_cell_angle_beta 90.00
_cell_angle_gamma 90.00
loop_
_symmetry_equiv_pos_as_xyz
'x,y,z'
'-x,-y,z+1/2'
'-x,y,z'
'x,-y,z+1/2'
loop_
_atom_site_label
_atom_site_type_symbol
_atom_site_fract_x
_atom_site_fract_y
_atom_site_fract_z
Cs1 Cs 0.000 0.137 0.000
Cs2 Cs 0.500 0.165 0.657
K1 K 0.500 0.481 0.996
Tl1 Tl 0.000 0.459 0.754
Tl2 Tl 0.500 0.230 0.249
Pb1 Pb 0.000 0.271 0.403
# calculated formation energy: -0.08 eV/atom
# uncorrected energy: -23.49 eV/cell
# crystal system: orthorhombic